Entry 1:
Entry from the Alexandria database: KCaInTe3 after structural relaxation (PBE).

- ΔE_f (raw): -918 meV per atom

Structure (CIF):
```
data_KCaInTe3
_symmetry_space_group_name_H-M 'P 1 21/m 1'
_symmetry_Int_Tables_number 11
_cell_length_a 9.4438
_cell_length_b 4.5802
_cell_length_c 11.7011
_cell_angle_alpha 90.00
_cell_angle_beta 108.34
_cell_angle_gamma 90.00
loop_
_symmetry_equiv_pos_as_xyz
'x,y,z'
'-x,-y,-z'
'-x,y+1/2,-z'
'x,-y+1/2,z'
loop_
_atom_site_label
_atom_site_type_symbol
_atom_site_fract_x
_atom_site_fract_y
_atom_site_fract_z
K1 K 0.2431 0.2500 0.2194
Ca1 Ca 0.3303 0.7500 0.8991
In1 In 0.0968 0.2500 0.6364
Te1 Te 0.0702 0.2500 0.8637
Te2 Te 0.2091 0.7500 0.5399
Te3 Te 0.4917 0.7500 0.1744
```


Entry 2:
Entry from the Alexandria database: KCa2Tl2In2 after structural relaxation (PBE).

- Calculated total energy: -0.17610 Ry per atom

Structure (CIF):
```
data_KCa2Tl2In2
_symmetry_space_group_name_H-M 'R -3 m'
_symmetry_Int_Tables_number 166
_symmetry_space_group_name_Hall '-R 3 2"'
_cell_length_a 5.2531
_cell_length_b 5.2531
_cell_length_c 30.5835
_cell_angle_alpha 90.00
_cell_angle_beta 90.00
_cell_angle_gamma 120.00
loop_
_atom_site_label
_atom_site_type_symbol
_atom_site_fract_x
_atom_site_fract_y
_atom_site_fract_z
K1 K 0.0000 0.0000 0.0000
Ca1 Ca 0.0000 0.0000 0.1338
Tl1 Tl 0.0000 0.0000 0.4391
In1 In 0.0000 0.0000 0.2509
```


Entry 3:
Entry from the Alexandria database: CaLa2In4 after structural relaxation (PBE).

- Calculated total energy: -0.26294 Ry per atom

Structure (CIF):
```
data_CaLa2In4
_symmetry_space_group_name_H-M 'I 4/m m m'
_symmetry_Int_Tables_number 139
_symmetry_space_group_name_Hall '-I 4 2'
_cell_length_a 5.3767
_cell_length_b 5.3767
_cell_length_c 15.2878
_cell_angle_alpha 90.00
_cell_angle_beta 90.00
_cell_angle_gamma 90.00
loop_
_atom_site_label
_atom_site_type_symbol
_atom_site_fract_x
_atom_site_fract_y
_atom_site_fract_z
Ca1 Ca 0.0000 0.0000 0.0000
La1 La 0.0000 0.0000 0.2523
In1 In 0.0000 0.5000 0.1084
```


Entry 4:
Entry from the Alexandria database: CaLa3In2 after structural relaxation (PBE).

- E above lowest polymorph: 52 kJ/mol of formula units

Structure (CIF):
```
data_CaLa3In2
_symmetry_space_group_name_H-M 'C 1 2/m 1'
_symmetry_Int_Tables_number 12
_cell_length_a 17.6920
_cell_length_b 5.4977
_cell_length_c 8.4779
_cell_angle_alpha 90.00
_cell_angle_beta 96.03
_cell_angle_gamma 90.00
loop_
_symmetry_equiv_pos_as_xyz
'x,y,z'
'-x,-y,-z'
'-x,y,-z'
'x,-y,z'
'x+1/2,y+1/2,z'
'-x+1/2,-y+1/2,-z'
'-x+1/2,y+1/2,-z'
'x+1/2,-y+1/2,z'
loop_
_atom_site_label
_atom_site_type_symbol
_atom_site_fract_x
_atom_site_fract_y
_atom_site_fract_z
Ca1 Ca 0.1563 0.0000 0.2798
La1 La 0.0599 0.0000 0.8366
La2 La 0.1248 0.5000 0.5484
La3 La 0.1798 0.5000 0.9901
In1 In 0.0323 0.5000 0.1813
In2 In 0.2197 0.0000 0.6735
```


Entry 5:
Entry from the Alexandria database: Ca2LaIn after structural relaxation (PBE).

- E above lowest polymorph: 20 kJ/mol of formula units

Structure (CIF):
```
data_Ca2LaIn
_symmetry_space_group_name_H-M 'P m m 2'
_symmetry_Int_Tables_number 25
_cell_length_a 3.7215
_cell_length_b 4.8086
_cell_length_c 7.5954
_cell_angle_alpha 90.00
_cell_angle_beta 90.00
_cell_angle_gamma 90.00
loop_
_symmetry_equiv_pos_as_xyz
'x,y,z'
'-x,-y,z'
'-x,y,z'
'x,-y,z'
loop_
_atom_site_label
_atom_site_type_symbol
_atom_site_fract_x
_atom_site_fract_y
_atom_site_fract_z
Ca1 Ca 0.0000 0.0000 0.0000
Ca2 Ca 0.5000 0.5000 0.2787
La1 La 0.5000 0.5000 0.7193
In1 In 0.0000 0.0000 0.5039
```


Entry 6:
Entry from the Alexandria database: Ca2LaIn after structural relaxation (PBE).

- E above lowest polymorph: 54 kJ/mol of formula units

Structure (CIF):
```
data_Ca2LaIn
_symmetry_space_group_name_H-M 'R 3 m'
_symmetry_Int_Tables_number 160
_symmetry_space_group_name_Hall 'R 3 -2"'
_cell_length_a 3.7497
_cell_length_b 3.7497
_cell_length_c 34.7065
_cell_angle_alpha 90.00
_cell_angle_beta 90.00
_cell_angle_gamma 120.00
loop_
_atom_site_label
_atom_site_type_symbol
_atom_site_fract_x
_atom_site_fract_y
_atom_site_fract_z
Ca1 Ca 0.0000 0.0000 0.0000
Ca2 Ca 0.0000 0.0000 0.1879
La1 La 0.0000 0.0000 0.4281
In1 In 0.0000 0.0000 0.5938
```